Record 1
Density functional theory data (PBE-GGA) for a geometry-optimized PaZn2IO8 structure.

The structure in extended XYZ format:
```
12
Lattice="3.290 -3.387 0.000 3.290 3.387 0.000 0.000 0.000 6.756" Properties=species:S:1:pos:R:3 pbc="T T T"
Pa 0.000 0.000 0.000
Zn 3.290 0.000 1.769
Zn 3.290 0.000 4.987
I 0.000 0.000 3.378
O 3.290 2.106 1.933
O 3.290 2.106 4.823
O 1.881 0.000 3.378
O 2.014 0.000 0.000
O 4.566 0.000 0.000
O 4.699 0.000 3.378
O 3.290 -2.106 1.933
O 3.290 -2.106 4.823
```

## Properties
- spin magnetization (μB per cell) = 0.0
- raw formation energy (kJ/mol of formula units) = -1764

Record 2
Density functional theory data (PBE-GGA) for a geometry-optimized SrCeZnRh structure.

The structure in extended XYZ format:
```
4
Lattice="0.000 3.624 3.624 3.624 0.000 3.624 3.624 3.624 0.000" Properties=species:S:1:pos:R:3 pbc="T T T"
Sr 0.000 0.000 0.000
Ce 3.624 3.624 3.624
Zn 5.436 5.436 5.436
Rh 1.812 1.812 1.812
```

## Properties
- energy relative to the elements (eV/atom) = -0.236
- spin magnetization (μB per cell) = 0.5

Record 3
Density functional theory data (PBE-GGA) for a geometry-optimized Sm2ErTh3S6 structure.

The structure in extended XYZ format:
```
12
Lattice="8.806 -1.991 0.000 8.806 1.991 0.000 -2.139 0.000 7.757" Properties=species:S:1:pos:R:3 pbc="T T T"
Sm 2.217 0.000 2.582
Sm 13.255 0.000 5.175
Er 8.806 0.000 0.000
Th 1.177 0.000 6.465
Th 7.736 0.000 3.879
Th 14.296 0.000 1.292
S -0.501 0.000 1.841
S 15.974 0.000 5.916
S 4.940 0.000 3.262
S 4.005 0.000 7.106
S 11.468 0.000 0.651
S 10.532 0.000 4.496
```

## Properties
- spin magnetization (μB per cell) = 0.0
- raw formation energy (kJ/mol of formula units) = -2202

Record 4
Density functional theory data (PBE-GGA) for a geometry-optimized Nd2VGe3Ir4 structure.

The structure in extended XYZ format:
```
10
Lattice="4.203 0.000 0.000 0.000 4.203 0.000 0.000 0.000 10.461" Properties=species:S:1:pos:R:3 pbc="T T T"
Nd 0.000 2.102 2.616
Nd 2.102 0.000 7.846
V 0.000 0.000 5.231
Ge 0.000 2.102 9.095
Ge 2.102 0.000 1.367
Ge 2.102 2.102 5.231
Ir 0.000 0.000 0.000
Ir 0.000 2.102 6.610
Ir 2.102 0.000 3.852
Ir 2.102 2.102 0.000
```

## Properties
- energy relative to the elements (eV/atom) = -0.729
- spin magnetization (μB per cell) = 0.6

Record 5
Density functional theory data (PBE-GGA) for a geometry-optimized Y5Ho2Er6 structure.

The structure in extended XYZ format:
```
26
Lattice="11.545 0.000 0.000 0.000 20.153 0.000 0.000 0.000 3.563" Properties=species:S:1:pos:R:3 pbc="T T T"
Y 0.000 0.000 0.000
Y 1.034 5.510 0.000
Y 2.279 11.104 0.000
Y 3.493 1.027 0.000
Y 4.739 15.587 0.000
Y 5.773 10.077 0.000
Y 6.807 4.566 0.000
Y 8.052 19.126 0.000
Y 9.266 9.049 0.000
Y 10.511 14.643 0.000
Ho 1.928 14.307 1.781
Ho 3.845 4.230 1.781
Ho 7.701 15.923 1.781
Ho 9.617 5.846 1.781
Er 0.706 8.451 1.781
Er 0.962 2.657 1.781
Er 1.977 17.401 0.000
Er 3.796 7.324 0.000
Er 4.811 12.733 1.781
Er 5.066 18.527 1.781
Er 6.479 1.626 1.781
Er 6.735 7.420 1.781
Er 7.750 12.829 0.000
Er 9.568 2.752 0.000
Er 10.583 17.496 1.781
Er 10.839 11.703 1.781
```

## Properties
- energy relative to the elements (eV/atom) = 0.102
- spin magnetization (μB per cell) = 0.0

Record 6
Density functional theory data (PBE-GGA) for a geometry-optimized Mg2ScTa structure.

The structure in extended XYZ format:
```
4
Lattice="0.000 3.490 3.490 3.490 0.000 3.490 3.490 3.490 0.000" Properties=species:S:1:pos:R:3 pbc="T T T"
Mg 0.000 0.000 0.000
Mg 1.745 1.745 1.745
Sc 5.235 5.235 5.235
Ta 3.490 3.490 3.490
```

## Properties
- energy relative to the elements (eV/atom) = 0.415
- energy above the most stable polymorph in this dataset (meV per atom) = 344.0
- spin magnetization (μB per cell) = 2.2

Record 7
Density functional theory data (PBE-GGA) for a geometry-optimized Cs2TaZnS4 structure.

The structure in extended XYZ format:
```
16
Lattice="0.000 7.092 12.400 3.139 0.000 12.400 3.139 7.092 0.000" Properties=species:S:1:pos:R:3 pbc="T T T"
Cs 2.354 5.319 1.256
Cs 3.924 8.865 7.456
Cs 2.354 5.319 17.344
Cs 3.924 8.865 23.544
Ta 2.354 5.319 9.300
Ta 3.924 8.865 15.500
Zn 0.785 1.773 3.100
Zn 5.493 12.411 21.700
S 2.407 3.037 4.324
S 3.871 6.583 10.524
S 2.302 7.601 4.324
S 2.302 3.037 14.276
S 3.976 11.147 10.524
S 3.976 6.583 20.476
S 2.407 7.601 14.276
S 3.871 11.147 20.476
```

## Properties
- spin magnetization (μB per cell) = 0.0
- raw formation energy (kJ/mol of formula units) = -788

Record 8
Density functional theory data (PBE-GGA) for a geometry-optimized Co2CuB structure.

The structure in extended XYZ format:
```
8
Lattice="-3.078 3.078 2.184 3.078 -3.078 2.184 3.078 3.078 -2.184" Properties=species:S:1:pos:R:3 pbc="T T T"
Co 4.618 1.053 -0.546
Co 1.053 1.539 0.546
Co -1.539 2.026 1.638
Co 2.026 1.539 2.730
Cu 3.078 0.000 1.092
Cu 0.000 0.000 2.184
B 0.000 0.000 0.000
B 0.000 3.078 1.092
```

## Properties
- energy relative to the elements (eV/atom) = 0.222
- spin magnetization (μB per cell) = 2.5

Record 9
Density functional theory data (PBE-GGA) for a geometry-optimized Ge2HF structure.

The structure in extended XYZ format:
```
8
Lattice="-2.218 2.218 6.480 2.218 -2.218 6.480 2.218 2.218 -6.480" Properties=species:S:1:pos:R:3 pbc="T T T"
Ge 3.326 0.700 -1.620
Ge 0.700 1.109 1.620
Ge -1.109 1.518 4.860
Ge 1.518 1.109 8.100
H 0.000 0.000 0.000
H 0.000 2.218 3.240
F 2.218 0.000 3.240
F 0.000 0.000 6.480
```

## Properties
- energy above the most stable polymorph in this dataset (meV per atom) = 0.0
- spin magnetization (μB per cell) = 0.0

Record 10
Density functional theory data (PBE-GGA) for a geometry-optimized Tl3H2 structure.

The structure in extended XYZ format:
```
10
Lattice="0.000 6.416 3.103 5.570 0.000 3.103 5.570 6.416 0.000" Properties=species:S:1:pos:R:3 pbc="T T T"
Tl 0.000 0.000 0.000
Tl 2.785 3.208 1.551
Tl 7.157 7.081 3.324
Tl 9.942 8.959 4.875
Tl 3.983 5.751 3.324
Tl 6.768 10.289 4.875
H 3.035 0.482 1.730
H 5.820 2.726 3.281
H 2.535 5.935 1.730
H 5.320 10.106 3.281
```

## Properties
- VASP energy (hartree per atom) = -0.0899
- spin magnetization (μB per cell) = 0.0

Record 11
Density functional theory data (PBE-GGA) for a geometry-optimized HoSc2Cu structure.

The structure in extended XYZ format:
```
16
Lattice="6.377 0.000 0.000 0.000 9.487 0.000 0.000 0.000 6.038" Properties=species:S:1:pos:R:3 pbc="T T T"
Ho 0.009 2.372 0.730
Ho 3.179 7.115 3.749
Ho 3.198 2.372 2.289
Ho 6.368 7.115 5.308
Sc 1.136 0.471 4.133
Sc 1.136 4.272 4.133
Sc 2.052 5.215 1.114
Sc 2.052 9.016 1.114
Sc 4.325 0.471 4.924
Sc 4.325 4.272 4.924
Sc 5.241 5.215 1.905
Sc 5.241 9.016 1.905
Cu 0.612 7.115 2.569
Cu 2.576 2.372 5.588
Cu 3.801 7.115 0.450
Cu 5.765 2.372 3.469
```

## Properties
- energy relative to the elements (eV/atom) = -0.114
- energy above the most stable polymorph in this dataset (meV per atom) = 0.0
- spin magnetization (μB per cell) = 0.0

Record 12
Density functional theory data (PBE-GGA) for a geometry-optimized NpO3 structure.

The structure in extended XYZ format:
```
4
Lattice="4.131 0.000 0.000 0.000 4.131 0.000 0.000 0.000 4.131" Properties=species:S:1:pos:R:3 pbc="T T T"
Np 0.000 0.000 0.000
O 0.000 0.000 2.066
O 0.000 2.066 0.000
O 2.066 0.000 0.000
```

## Properties
- energy above the most stable polymorph in this dataset (meV per atom) = 0.0
- spin magnetization (μB per cell) = 1.0
- raw formation energy (kJ/mol of formula units) = -1050

> spin magnetization of number 4 (Nd2VGe3Ir4)?

0.6 μB per cell